[1]
The following is a GGA-PBE calculation of crystalline ZrNbRu2 at its relaxed geometry, from the Alexandria database.

abc: 7.0611 7.0611 5.8218
angles: 90.00 90.00 90.00
With the nearest neighbours (Å) after each atom.
Element x y z (fractional)
Zr: 0.0000 0.0000 0.0000  4 Ru 2.69, 2 Nb 2.91
Zr: 0.0000 0.5000 0.2500  4 Ru 2.69, 2 Nb 2.91
Zr: 0.5000 0.0000 0.7500  4 Ru 2.69, 2 Nb 2.91
Zr: 0.5000 0.5000 0.5000  4 Ru 2.69, 2 Nb 2.91
Nb: 0.0000 0.0000 0.5000  4 Ru 2.51
Nb: 0.0000 0.5000 0.7500  4 Ru 2.51
Nb: 0.5000 0.0000 0.2500  4 Ru 2.51
Nb: 0.5000 0.5000 0.0000  4 Ru 2.51
Ru: 0.2316 0.2500 0.6250  2 Nb 2.51, 2 Zr 2.69
Ru: 0.2500 0.7316 0.8750  2 Nb 2.51, 2 Zr 2.69
Ru: 0.2500 0.7684 0.3750  2 Nb 2.51, 2 Zr 2.69
Ru: 0.2684 0.2500 0.1250  2 Nb 2.51, 2 Zr 2.69
Ru: 0.7316 0.7500 0.1250  2 Nb 2.51, 2 Zr 2.69
Ru: 0.7500 0.2316 0.3750  2 Nb 2.51, 2 Zr 2.69
Ru: 0.7500 0.2684 0.8750  2 Nb 2.51, 2 Zr 2.69
Ru: 0.7684 0.7500 0.6250  2 Nb 2.51, 2 Zr 2.69

Its formation energy is 0.17 eV/atom. As for the total moment: 0.00 μB/f.u.



[2]
The following is a GGA-PBE calculation of crystalline Zr5NbRu6 at its relaxed geometry, from the Alexandria database.

abc: 7.9791 7.9791 7.9791
angles: 146.32 131.87 60.03
With the nearest neighbours (Å) after each atom.
Element x y z (fractional)
Zr: 0.0000 0.0000 0.0000  8 Ru 2.80-2.84
Zr: 0.1670 0.6670 0.5000  8 Ru 2.83-2.84
Zr: 0.3347 0.3347 0.0000  8 Ru 2.79-2.87
Zr: 0.6653 0.6653 0.0000  8 Ru 2.79-2.87
Zr: 0.8330 0.3330 0.5000  8 Ru 2.83-2.84
Nb: 0.5000 0.0000 0.5000  8 Ru 2.79-2.81
Ru: 0.0880 0.8356 0.2525  1 Nb 2.79, 7 Zr 2.80-2.87
Ru: 0.2546 0.5000 0.7546  6 Zr 2.79-2.84, 2 Nb 2.81
Ru: 0.4169 0.1644 0.2525  1 Nb 2.79, 7 Zr 2.80-2.87
Ru: 0.5831 0.8356 0.7475  1 Nb 2.79, 7 Zr 2.80-2.87
Ru: 0.7454 0.5000 0.2454  6 Zr 2.79-2.84, 2 Nb 2.81
Ru: 0.9120 0.1644 0.7475  1 Nb 2.79, 7 Zr 2.80-2.87

Its formation energy is -0.57 eV/atom. As for the total moment: 0.00 μB/f.u.



[3]
The following is a GGA-PBE calculation of crystalline ZrNb3Ru at its relaxed geometry, from the Alexandria database.

abc: 4.8161 4.8161 4.8161
angles: 90.00 90.00 90.00
With the nearest neighbours (Å) after each atom.
Element x y z (fractional)
Zr: 0.0000 0.0000 0.0000  12 Nb 3.41
Nb: 0.0000 0.5000 0.5000  2 Ru 2.41
Nb: 0.5000 0.0000 0.5000  2 Ru 2.41
Nb: 0.5000 0.5000 0.0000  2 Ru 2.41
Ru: 0.5000 0.5000 0.5000  6 Nb 2.41

Its formation energy is 0.80 eV/atom. For the polymorph energy (0 for the lowest one), the calculation gives 0.0 meV per atom. As for the total moment: 0.00 μB/f.u.



[4]
The following is a GGA-PBE calculation of crystalline ZrNbRu2 at its relaxed geometry, from the Alexandria database.

abc: 2.8829 4.9425 10.0621
angles: 90.00 90.00 90.00
With the nearest neighbours (Å) after each atom.
Element x y z (fractional)
Zr: 0.0000 0.0000 0.0000  2 Ru 2.64, 4 Nb 2.86, 2 Zr 2.88
Zr: 0.5000 0.5000 0.5000  2 Ru 2.64, 4 Nb 2.86, 2 Zr 2.88
Nb: 0.0000 0.0000 0.5000  2 Ru 2.39
Nb: 0.5000 0.5000 0.0000  2 Ru 2.39
Ru: 0.0000 0.0000 0.2629  1 Nb 2.39, 1 Zr 2.64
Ru: 0.0000 0.0000 0.7371  1 Nb 2.39, 1 Zr 2.64
Ru: 0.5000 0.5000 0.2371  1 Nb 2.39, 1 Zr 2.64
Ru: 0.5000 0.5000 0.7629  1 Nb 2.39, 1 Zr 2.64

Its formation energy is 0.44 eV/atom. As for the total moment: 0.00 μB/f.u.



[5]
The following is a GGA-PBE calculation of crystalline ZrNb3Ru at its relaxed geometry, from the Alexandria database.

abc: 4.8101 4.8101 4.8101
angles: 90.00 90.00 90.00
With the nearest neighbours (Å) after each atom.
Element x y z (fractional)
Zr: 0.0000 0.0000 0.0000  6 Nb 2.41
Nb: 0.0000 0.0000 0.5000  2 Zr 2.41
Nb: 0.0000 0.5000 0.0000  2 Zr 2.41
Nb: 0.5000 0.0000 0.0000  2 Zr 2.41
Ru: 0.5000 0.5000 0.5000  12 Nb 3.40

Its formation energy is 1.97 eV/atom. For the polymorph energy (0 for the lowest one), the calculation gives 1164.4 meV per atom. As for the total moment: 0.00 μB/f.u.



[6]
The following is a GGA-PBE calculation of crystalline ZrNbRu4 at its relaxed geometry, from the Alexandria database.

abc: 5.1646 5.1646 5.1646
angles: 60.00 60.00 60.00
With the nearest neighbours (Å) after each atom.
Element x y z (fractional)
Zr: 0.0000 0.0000 0.0000  12 Ru 3.03, 4 Nb 3.16
Nb: 0.7500 0.7500 0.7500  12 Ru 3.03, 4 Zr 3.16
Ru: 0.3746 0.3746 0.3746  6 Ru 2.58-2.59
Ru: 0.3746 0.3746 0.8761  6 Ru 2.58-2.59
Ru: 0.3746 0.8761 0.3746  6 Ru 2.58-2.59
Ru: 0.8761 0.3746 0.3746  6 Ru 2.58-2.59

Its formation energy is -0.17 eV/atom. As for the total moment: 0.00 μB/f.u.



[7]
The following is a GGA-PBE calculation of crystalline Zr3NbRu at its relaxed geometry, from the Alexandria database.

abc: 4.9504 4.9504 4.9504
angles: 90.00 90.00 90.00
With the nearest neighbours (Å) after each atom.
Element x y z (fractional)
Zr: 0.0000 0.0000 0.5000  2 Ru 2.48
Zr: 0.0000 0.5000 0.0000  2 Ru 2.48
Zr: 0.5000 0.0000 0.0000  2 Ru 2.48
Nb: 0.5000 0.5000 0.5000  12 Zr 3.50
Ru: 0.0000 0.0000 0.0000  6 Zr 2.48

Its formation energy is 0.59 eV/atom. For the polymorph energy (0 for the lowest one), the calculation gives 0.0 meV per atom. As for the total moment: 0.00 μB/f.u.



[8]
The following is a GGA-PBE calculation of crystalline ZrNbRu2 at its relaxed geometry, from the Alexandria database.

abc: 4.5553 3.2628 9.0716
angles: 90.00 90.00 90.00
With the nearest neighbours (Å) after each atom.
Element x y z (fractional)
Zr: 0.2500 0.0000 0.1292  8 Ru 2.80-2.88
Zr: 0.7500 0.0000 0.8708  8 Ru 2.80-2.88
Nb: 0.2500 0.0000 0.6202  8 Ru 2.71-2.80
Nb: 0.7500 0.0000 0.3798  8 Ru 2.71-2.80
Ru: 0.2500 0.5000 0.3822  6 Nb 2.71-2.80, 2 Zr 2.82
Ru: 0.2500 0.5000 0.8677  2 Nb 2.78, 6 Zr 2.80-2.88
Ru: 0.7500 0.5000 0.1323  2 Nb 2.78, 6 Zr 2.80-2.88
Ru: 0.7500 0.5000 0.6178  6 Nb 2.71-2.80, 2 Zr 2.82

Its formation energy is -0.40 eV/atom. As for the total moment: 0.00 μB/f.u.



[9]
The following is a GGA-PBE calculation of crystalline ZrNb3Ru4 at its relaxed geometry, from the Alexandria database.

abc: 3.3626 4.4361 8.8394
angles: 90.00 90.00 90.00
With the nearest neighbours (Å) after each atom.
Element x y z (fractional)
Zr: 0.0000 0.0000 0.0000  8 Ru 2.78-2.81
Nb: 0.0000 0.0000 0.5000  8 Ru 2.75-2.78
Nb: 0.0000 0.5000 0.2588  8 Ru 2.72-2.84
Nb: 0.0000 0.5000 0.7412  8 Ru 2.72-2.84
Ru: 0.5000 0.0000 0.2545  6 Nb 2.75-2.78, 2 Zr 2.81
Ru: 0.5000 0.0000 0.7455  6 Nb 2.75-2.78, 2 Zr 2.81
Ru: 0.5000 0.5000 0.0000  4 Zr 2.78, 4 Nb 2.84
Ru: 0.5000 0.5000 0.5000  8 Nb 2.72-2.78

Its formation energy is -0.28 eV/atom. As for the total moment: 0.00 μB/f.u.



[10]
The following is a GGA-PBE calculation of crystalline Zr4NbRu5 at its relaxed geometry, from the Alexandria database.

abc: 3.2595 3.2595 16.2530
angles: 90.00 90.00 90.00
With the nearest neighbours (Å) after each atom.
Element x y z (fractional)
Zr: 0.0000 0.0000 0.1011  8 Ru 2.83
Zr: 0.0000 0.0000 0.3029  8 Ru 2.82-2.85
Zr: 0.0000 0.0000 0.6971  8 Ru 2.82-2.85
Zr: 0.0000 0.0000 0.8989  8 Ru 2.83
Nb: 0.0000 0.0000 0.5000  8 Ru 2.77
Ru: 0.5000 0.5000 0.0000  8 Zr 2.83
Ru: 0.5000 0.5000 0.2025  8 Zr 2.82-2.83
Ru: 0.5000 0.5000 0.4056  4 Nb 2.77, 4 Zr 2.85, 1 Ru 3.07
Ru: 0.5000 0.5000 0.5944  4 Nb 2.77, 4 Zr 2.85, 1 Ru 3.07
Ru: 0.5000 0.5000 0.7975  8 Zr 2.82-2.83

Its formation energy is -0.55 eV/atom. As for the total moment: 0.00 μB/f.u.



[11]
The following is a GGA-PBE calculation of crystalline ZrNbRu3 at its relaxed geometry, from the Alexandria database.

abc: 4.6598 4.6598 4.6598
angles: 90.00 90.00 90.00
With the nearest neighbours (Å) after each atom.
Element x y z (fractional)
Zr: 0.0000 0.0000 0.0000  12 Ru 3.29
Nb: 0.5000 0.5000 0.5000  6 Ru 2.33
Ru: 0.0000 0.5000 0.5000  2 Nb 2.33
Ru: 0.5000 0.0000 0.5000  2 Nb 2.33
Ru: 0.5000 0.5000 0.0000  2 Nb 2.33

Its formation energy is 0.92 eV/atom. For the polymorph energy (0 for the lowest one), the calculation gives 0.0 meV per atom. As for the total moment: 0.00 μB/f.u.



[12]
The following is a GGA-PBE calculation of crystalline ZrNb4Ru5 at its relaxed geometry, from the Alexandria database.

abc: 3.2549 3.2549 15.4817
angles: 90.00 90.00 90.00
With the nearest neighbours (Å) after each atom.
Element x y z (fractional)
Zr: 0.0000 0.0000 0.0000  8 Ru 2.83
Nb: 0.0000 0.0000 0.2064  8 Ru 2.76-2.77, 1 Nb 3.03
Nb: 0.0000 0.0000 0.4021  8 Ru 2.75-2.76, 2 Nb 3.03
Nb: 0.0000 0.0000 0.5979  8 Ru 2.75-2.76, 2 Nb 3.03
Nb: 0.0000 0.0000 0.7936  8 Ru 2.76-2.77, 1 Nb 3.03
Ru: 0.5000 0.5000 0.1067  4 Nb 2.77, 4 Zr 2.83, 1 Ru 3.07
Ru: 0.5000 0.5000 0.3048  8 Nb 2.75-2.76, 2 Ru 3.02-3.07
Ru: 0.5000 0.5000 0.5000  8 Nb 2.76, 2 Ru 3.02
Ru: 0.5000 0.5000 0.6952  8 Nb 2.75-2.76, 2 Ru 3.02-3.07
Ru: 0.5000 0.5000 0.8933  4 Nb 2.77, 4 Zr 2.83, 1 Ru 3.07

Its formation energy is -0.26 eV/atom. As for the total moment: 0.00 μB/f.u.



What did we get for energy? Answer: -145.9 -115.3 -44.0 -70.9 -38.2 -56.8 -42.0 -77.6 -78.1 -96.1 -41.8 -97.8 eV/cell, in the order shown.